1.
# LiMo2W

A relaxed LiMo2W crystal (PBEsol, Alexandria).

DFT total energy: -9.3492 eV per atom
Total moment: 0.000 μB per cell

a = 2.5477 Å, b = 4.3603 Å, c = 5.3988 Å
α = 90.00°, β = 90.00°, γ = 90.00°
Last column: nearest neighbours and their distance in Å.
Element x y z (fractional)
Li 0.5000 0.5000 0.7506  2 Li 2.55, 6 Mo 2.70-2.85
Mo 0.0000 0.0000 0.9945  2 Mo 2.55, 2 W 2.65-2.75, 4 Li 2.85
Mo 0.5000 0.5000 0.2511  2 Mo 2.55, 2 Li 2.70
W 0.0000 0.0000 0.5037  2 W 2.55, 2 Mo 2.65-2.75


2.
# LiMoW2

A relaxed LiMoW2 crystal (PBEsol, Alexandria).

DFT total energy: -10.0187 eV per atom
Total moment: 0.000 μB per cell

a = 2.6801 Å, b = 2.6801 Å, c = 9.1369 Å
α = 90.00°, β = 90.00°, γ = 108.64°
Last column: nearest neighbours and their distance in Å.
Element x y z (fractional)
Li 0.0000 0.0000 0.5005  4 Li 2.68, 2 W 2.82, 2 Mo 2.83
Mo 0.5000 0.5000 0.2419  4 Mo 2.68, 2 W 2.70, 2 Li 2.83
W 0.0000 0.0000 0.0007  6 W 2.68-2.72, 2 Mo 2.70
W 0.5000 0.5000 0.7569  6 W 2.68-2.72, 2 Li 2.82


3.
# LiMoW2

A relaxed LiMoW2 crystal (PBEsol, Alexandria).

DFT total energy: -9.8554 eV per atom
Total moment: 0.000 μB per cell

a = 3.1544 Å, b = 4.3748 Å, c = 5.0780 Å
α = 115.52°, β = 108.09°, γ = 90.00°
Last column: nearest neighbours and their distance in Å.
Element x y z (fractional)
Li 0.4986 0.4986 0.9972  8 W 2.70-3.02, 2 Mo 2.71
Mo 0.7429 0.2429 0.4857  6 W 2.61-2.70, 2 Li 2.71
W 0.0019 0.0019 0.0038  2 Mo 2.61, 2 W 2.63, 4 Li 2.70
W 0.2567 0.7567 0.5134  2 W 2.63, 4 Mo 2.70, 2 Li 2.72


4.
# LiMoW2

A relaxed LiMoW2 crystal (PBEsol, Alexandria).

DFT total energy: -9.8487 eV per atom
Total moment: 0.000 μB per cell

a = 2.5719 Å, b = 4.6984 Å, c = 5.2089 Å
α = 93.29°, β = 90.00°, γ = 105.88°
Last column: nearest neighbours and their distance in Å.
Element x y z (fractional)
Li 0.4996 0.9992 0.5002  2 Li 2.57, 3 Mo 2.66-2.82, 3 W 2.67-2.82
Mo 0.2485 0.4971 0.7429  2 Mo 2.57, 3 Li 2.66-2.82, 5 W 2.68-2.88
W 0.0007 0.0014 0.9999  5 W 2.57-2.87, 3 Mo 2.68-2.88
W 0.7512 0.5023 0.2570  5 W 2.57-2.87, 3 Li 2.67-2.82, 2 Mo 2.84


Let's list formation energy in order: 1.9 1.3 1.9 2.0 eV/f.u..